Entry 1:
NaGeAu2O6 (PBE, relaxed); E_form (uncorrected) = -0.6301 eV/atom
1.0
-1.024 0.624 -7.232
-4.539 -5.202 -3.371
-7.247 0.540 -2.493
Na Ge Au O
2 2 4 12
Direct
0.250 0.735 0.265
0.750 0.265 0.735
0.250 0.235 0.765
0.750 0.765 0.235
0.399 0.785 0.709
0.101 0.291 0.215
0.601 0.215 0.291
0.899 0.709 0.785
0.215 0.961 0.870
0.285 0.130 0.039
0.785 0.039 0.130
0.715 0.870 0.961
0.548 0.654 0.503
0.952 0.497 0.346
0.452 0.346 0.497
0.048 0.503 0.654
0.140 0.863 0.627
0.360 0.373 0.137
0.860 0.137 0.373
0.640 0.627 0.863

Entry 2:
NaGeP2Au (PBE, relaxed); energy relative to the elements = 743 meV/atom
1.0
-2.294 4.010 0.785
-1.210 0.331 -5.224
-3.947 -2.407 0.762
P Ge Au Na
2 1 1 1
Direct
0.000 0.000 0.500
0.500 0.000 0.000
0.000 0.000 0.000
0.500 0.500 0.500
0.000 0.500 0.000

Entry 3:
NaPaGeAu (PBE, relaxed); energy relative to the elements = -215 meV/atom
1.0
-2.232 -2.379 -3.776
-2.298 -4.356 0.805
-4.980 -0.266 -0.186
Na Ge Pa Au
1 1 1 1
Direct
0.500 0.500 0.500
0.250 0.250 0.250
0.000 0.000 0.000
0.750 0.750 0.750

Entry 4:
Na2Ge2Pd5Au (PBE, relaxed); energy relative to the elements = -369 meV/atom
1.0
-3.092 0.644 -1.917
-5.242 -1.207 8.050
0.776 9.457 1.924
Na Ge Pd Au
4 4 10 2
Direct
0.000 0.673 0.173
0.000 0.327 0.827
0.000 0.173 0.327
0.000 0.827 0.673
0.000 0.127 0.627
0.000 0.873 0.373
0.000 0.627 0.873
0.000 0.373 0.127
0.500 0.207 0.070
0.500 0.793 0.930
0.500 0.070 0.793
0.500 0.707 0.430
0.500 0.930 0.207
0.500 0.293 0.570
0.500 0.570 0.707
0.500 0.430 0.293
0.500 0.500 0.000
0.500 0.000 0.500
0.000 0.000 0.000
0.000 0.500 0.500

Entry 5:
Na2GePd5Au2 (PBE, relaxed); energy relative to the elements = -223 meV/atom
1.0
2.990 0.000 0.000
0.000 11.149 0.000
0.000 0.000 11.149
Na Ge Pd Au
4 2 10 4
Direct
0.000 0.669 0.169
0.000 0.331 0.831
0.000 0.169 0.331
0.000 0.831 0.669
0.000 0.000 0.000
0.000 0.500 0.500
0.500 0.180 0.036
0.500 0.820 0.964
0.500 0.036 0.820
0.500 0.680 0.464
0.500 0.964 0.180
0.500 0.320 0.536
0.500 0.536 0.680
0.500 0.464 0.320
0.500 0.500 0.000
0.500 0.000 0.500
0.000 0.144 0.644
0.000 0.856 0.356
0.000 0.644 0.856
0.000 0.356 0.144

Entry 6:
Na2Ge3PdAu12 (PBE, relaxed); energy relative to the elements = 8 meV/atom
1.0
-4.981 2.214 4.572
-1.619 -6.489 2.426
4.337 0.286 5.632
Na Ge Pd Au
2 3 1 12
Direct
0.619 0.619 0.619
0.381 0.381 0.381
0.500 0.000 0.000
0.000 0.500 0.000
0.000 0.000 0.500
0.000 0.000 0.000
0.380 0.380 0.933
0.806 0.806 0.306
0.306 0.806 0.806
0.933 0.380 0.380
0.806 0.306 0.806
0.380 0.933 0.380
0.620 0.620 0.067
0.194 0.194 0.694
0.694 0.194 0.194
0.067 0.620 0.620
0.194 0.694 0.194
0.620 0.067 0.620

Entry 7:
Na2PmGe3Au12 (PBE, relaxed); energy relative to the elements = -39 meV/atom
1.0
-0.378 6.436 4.208
-5.309 4.397 -3.429
-6.352 -0.712 4.291
Na Pm Ge Au
2 1 3 12
Direct
0.587 0.587 0.587
0.413 0.413 0.413
0.000 0.000 0.000
0.500 0.000 0.000
0.000 0.500 0.000
0.000 0.000 0.500
0.313 0.313 0.847
0.830 0.830 0.380
0.380 0.830 0.830
0.847 0.313 0.313
0.830 0.380 0.830
0.313 0.847 0.313
0.687 0.687 0.153
0.170 0.170 0.620
0.620 0.170 0.170
0.153 0.687 0.687
0.170 0.620 0.170
0.687 0.153 0.687

Entry 8:
NaPmGeAu (PBE, relaxed); energy relative to the elements = -495 meV/atom
1.0
5.068 0.000 0.000
2.534 4.389 0.000
2.534 1.463 4.138
Na Ge Au Pm
1 1 1 1
Direct
0.000 0.000 0.000
0.250 0.250 0.250
0.750 0.750 0.750
0.500 0.500 0.500

Entry 9:
Na2Ge4PtAu3 (PBE, relaxed); energy relative to the elements = -225 meV/atom
1.0
-3.199 3.095 0.525
-0.829 -0.109 -4.403
-7.072 -7.567 1.520
Na Ge Pt Au
2 4 1 3
Direct
0.500 0.000 0.257
0.000 0.500 0.743
0.500 0.500 0.000
0.000 0.000 0.000
0.500 0.000 0.619
0.000 0.500 0.381
0.500 0.500 0.500
0.000 0.000 0.500
0.500 0.000 0.862
0.000 0.500 0.138

Entry 10:
Na2Ge4Pt3Au (PBE, relaxed); energy relative to the elements = -393 meV/atom
1.0
-0.144 -3.010 3.219
4.285 -0.848 -0.601
2.376 7.174 6.815
Na Ge Pt Au
2 4 3 1
Direct
0.500 0.000 0.251
0.000 0.500 0.749
0.500 0.500 0.000
0.000 0.000 0.000
0.500 0.000 0.632
0.000 0.500 0.368
0.000 0.000 0.500
0.500 0.000 0.875
0.000 0.500 0.125
0.500 0.500 0.500

Entry 11:
NaPuGeAu (PBE, relaxed); energy relative to the elements = -236 meV/atom
1.0
-4.400 1.791 1.604
-1.760 -1.337 4.500
-0.134 3.344 3.733
Na Ge Au Pu
1 1 1 1
Direct
0.750 0.750 0.750
0.000 0.000 0.000
0.500 0.500 0.500
0.250 0.250 0.250

Entry 12:
Rb2NaGeAu (PBE, relaxed); energy relative to the elements = -17 meV/atom
1.0
6.883 0.000 0.000
0.000 6.883 0.000
0.000 0.000 4.797
Na Ge Au Rb
1 1 1 2
Direct
0.500 0.500 0.500
0.000 0.000 0.500
0.000 0.000 0.000
0.000 0.500 0.000
0.500 0.000 0.000